(A)
Crystalline Nd3Tm2Cd2 at its relaxed geometry, computed with GGA-PBE.

The space group is C2/m (No. 12) and the conventional cell measures 9.4518, 5.4644 and 8.6484 Å, with angles of 90.00, 111.42 and 90.00 degrees. The distinct sites, in fractional coordinates, are Nd at (0.0000, 0.0000, 0.0000), Nd at (0.1588, 0.0000, 0.4758), Tm at (0.0728, 0.5000, 0.7187) and Cd at (0.2102, 0.5000, 0.1304).

=====

(B)
Crystalline Nd3Tm2Cd2 at its relaxed geometry, computed with GGA-PBE.

The space group is Cmmm (No. 65) and the conventional cell measures 5.1555, 23.0052 and 3.5145 Å, with angles of 90.00, 90.00 and 90.00 degrees. The distinct sites, in fractional coordinates, are Nd at (0.0000, 0.0000, 0.0000), Nd at (0.0000, 0.1483, 0.0000), Tm at (0.0000, 0.2894, 0.5000) and Cd at (0.0000, 0.4302, 0.5000).

=====

Of them, (B) has the lowest stability.

=====

(A)
Crystalline Nd6YCd at its relaxed geometry, computed with GGA-PBE.

The space group is P4/mmm (No. 123) and the conventional cell measures 5.0445, 5.0445 and 10.3126 Å, with angles of 90.00, 90.00 and 90.00 degrees. The distinct sites, in fractional coordinates, are Nd at (0.0000, 0.0000, 0.0000), Nd at (0.0000, 0.0000, 0.5000), Nd at (0.0000, 0.5000, 0.2443), Y at (0.5000, 0.5000, 0.5000) and Cd at (0.5000, 0.5000, 0.0000).

=====

(B)
Crystalline Nd6YCd at its relaxed geometry, computed with GGA-PBE.

The space group is P-1 (No. 2) and the conventional cell measures 6.6226, 6.6233 and 9.1249 Å, with angles of 110.95, 90.59 and 119.52 degrees. The distinct sites, in fractional coordinates, are Nd at (0.0233, 0.3498, 0.2890), Nd at (0.1785, 0.2455, 0.7120), Nd at (0.4268, 0.9593, 0.2912), Y at (0.5000, 0.5000, 0.5000) and Cd at (0.0000, 0.5000, 0.0000).

=====

Of them, (B) has the lowest stability.

=====

(A)
Crystalline Nd4Y5Cd at its relaxed geometry, computed with GGA-PBE.

The space group is P4/mmm (No. 123) and the conventional cell measures 3.6412, 3.6412 and 24.3918 Å, with angles of 90.00, 90.00 and 90.00 degrees. The distinct sites, in fractional coordinates, are Nd at (0.0000, 0.0000, 0.1044), Nd at (0.0000, 0.0000, 0.3137), Y at (0.5000, 0.5000, 0.0000), Y at (0.5000, 0.5000, 0.2093), Y at (0.5000, 0.5000, 0.4179) and Cd at (0.0000, 0.0000, 0.5000).

=====

(B)
Crystalline Nd4Y5Cd at its relaxed geometry, computed with GGA-PBE.

The space group is I4mm (No. 107) and the conventional cell measures 10.8149, 10.8149 and 5.8072 Å, with angles of 90.00, 90.00 and 90.00 degrees. The distinct sites, in fractional coordinates, are Nd at (0.0000, 0.3193, 0.0000), Y at (0.0000, 0.0000, 0.1810), Y at (0.1834, 0.1834, 0.4932) and Cd at (0.0000, 0.0000, 0.7005).

=====

Of them, (B) has the lowest stability.

=====

(A)
Crystalline Nd4YCd at its relaxed geometry, computed with GGA-PBE.

The space group is C2/c (No. 15) and the conventional cell measures 8.9771, 14.5081 and 6.4446 Å, with angles of 90.00, 109.47 and 90.00 degrees. The distinct sites, in fractional coordinates, are Nd at (0.0976, 0.1909, 0.0455), Nd at (0.2145, 0.3800, 0.3760), Y at (0.0000, 0.4134, 0.7500) and Cd at (0.0000, 0.0010, 0.7500).

=====

(B)
Crystalline Nd4YCd at its relaxed geometry, computed with GGA-PBE.

The space group is P4/mmm (No. 123) and the conventional cell measures 3.6935, 3.6935 and 14.3297 Å, with angles of 90.00, 90.00 and 90.00 degrees. The distinct sites, in fractional coordinates, are Nd at (0.0000, 0.0000, 0.1466), Nd at (0.5000, 0.5000, 0.3241), Y at (0.0000, 0.0000, 0.5000) and Cd at (0.5000, 0.5000, 0.0000).

=====

Of them, (A) has the lowest stability.

=====

(A)
Crystalline NdY2Cd at its relaxed geometry, computed with GGA-PBE.

The space group is R3m (No. 160, hexagonal axes) and the conventional cell measures 3.6551, 3.6551 and 32.4037 Å, with angles of 90.00, 90.00 and 120.00 degrees. The distinct sites, in fractional coordinates, are Nd at (0.0000, 0.0000, 0.0000), Y at (0.0000, 0.0000, 0.5754), Y at (0.0000, 0.0000, 0.7577) and Cd at (0.0000, 0.0000, 0.1663).

=====

(B)
Crystalline NdY2Cd at its relaxed geometry, computed with GGA-PBE.

The space group is R-3m (No. 166, hexagonal axes) and the conventional cell measures 3.6287, 3.6287 and 32.5519 Å, with angles of 90.00, 90.00 and 120.00 degrees. The distinct sites, in fractional coordinates, are Nd at (0.0000, 0.0000, 0.0000), Y at (0.0000, 0.0000, 0.2427) and Cd at (0.0000, 0.0000, 0.5000).

=====

Of them, (A) has the lowest stability.

=====

(A)
Crystalline Nd3Y2Cd2 at its relaxed geometry, computed with GGA-PBE.

The space group is C2/m (No. 12) and the conventional cell measures 9.5206, 5.5016 and 8.7189 Å, with angles of 90.00, 111.38 and 90.00 degrees. The distinct sites, in fractional coordinates, are Nd at (0.0000, 0.0000, 0.0000), Nd at (0.1586, 0.0000, 0.4751), Y at (0.0739, 0.5000, 0.7225) and Cd at (0.2105, 0.5000, 0.1319).

=====

(B)
Crystalline Nd3Y2Cd2 at its relaxed geometry, computed with GGA-PBE.

The space group is Cmmm (No. 65) and the conventional cell measures 5.1588, 23.3103 and 3.5258 Å, with angles of 90.00, 90.00 and 90.00 degrees. The distinct sites, in fractional coordinates, are Nd at (0.0000, 0.0000, 0.0000), Nd at (0.0000, 0.1448, 0.0000), Y at (0.0000, 0.2901, 0.5000) and Cd at (0.0000, 0.4311, 0.5000).

=====

Of them, (B) has the lowest stability.

=====

(A)
Crystalline Nd2Y8Cd at its relaxed geometry, computed with GGA-PBE.

The space group is C2/m (No. 12) and the conventional cell measures 19.5283, 5.6059 and 6.5039 Å, with angles of 90.00, 94.90 and 90.00 degrees. The distinct sites, in fractional coordinates, are Nd at (0.2432, 0.0000, 0.3335), Y at (0.0435, 0.0000, 0.2623), Y at (0.0773, 0.5000, 0.6016), Y at (0.1530, 0.0000, 0.8088), Y at (0.1588, 0.5000, 0.1249) and Cd at (0.0000, 0.5000, 0.0000).

=====

(B)
Crystalline Nd2Y8Cd at its relaxed geometry, computed with GGA-PBE.

The space group is C2/m (No. 12) and the conventional cell measures 18.5114, 6.8623 and 5.7894 Å, with angles of 90.00, 92.00 and 90.00 degrees. The distinct sites, in fractional coordinates, are Nd at (0.2207, 0.0000, 0.2576), Y at (0.0507, 0.0000, 0.2335), Y at (0.1223, 0.2399, 0.7441), Y at (0.1706, 0.5000, 0.2338) and Cd at (0.0000, 0.5000, 0.0000).

=====

Of them, (B) has the lowest stability.

=====

(A)
Crystalline Nd2Y2Cd at its relaxed geometry, computed with GGA-PBE.

The space group is I4/mmm (No. 139) and the conventional cell measures 3.6461, 3.6461 and 23.4840 Å, with angles of 90.00, 90.00 and 90.00 degrees. The distinct sites, in fractional coordinates, are Nd at (0.0000, 0.0000, 0.1941), Y at (0.0000, 0.0000, 0.4148) and Cd at (0.0000, 0.0000, 0.0000).

=====

(B)
Crystalline Nd2Y2Cd at its relaxed geometry, computed with GGA-PBE.

The space group is C2/m (No. 12) and the conventional cell measures 8.5297, 9.5162 and 8.6119 Å, with angles of 90.00, 116.22 and 90.00 degrees. The distinct sites, in fractional coordinates, are Nd at (0.1637, 0.0000, 0.4318), Nd at (0.2176, 0.5000, 0.1190), Y at (0.0746, 0.3154, 0.7226) and Cd at (0.0000, 0.1578, 0.0000).

=====

Of them, (B) has the lowest stability.